1.
The following is a PBE calculation of an optimized crystal structure of Pr2Pa2S7, from the Alexandria database.

The space group is Imm2 (No. 44) and the conventional cell measures 3.998, 14.327 and 8.699 Å, with angles of 90.00, 90.00 and 90.00 degrees. Symmetry generates all atoms from Pr at (0.000, 0.239, 0.000), Pa at (0.000, 0.000, 0.256), Pa at (0.000, 0.500, 0.203), S at (0.000, 0.000, 0.929), S at (0.000, 0.105, 0.526), S at (0.000, 0.320, 0.299) and S at (0.000, 0.370, 0.700).

The value obtained for the uncorrected formation energy is -1.82 eV/atom. The calculation puts the uncorrected energy at -77.48 eV/f.u.

2.
The following is a PBE calculation of an optimized crystal structure of Pr2PaS5, from the Alexandria database.

The space group is Cmcm (No. 63) and the conventional cell measures 5.436, 13.842 and 13.542 Å, with angles of 90.00, 90.00 and 90.00 degrees. Symmetry generates all atoms from Pr at (0.000, 0.144, 0.062), Pa at (0.000, 0.192, 0.750), S at (0.000, 0.048, 0.621), S at (0.000, 0.261, 0.250) and S at (0.000, 0.304, 0.582).

The value obtained for the uncorrected formation energy is -1.83 eV/atom. The calculation puts the uncorrected energy at -54.31 eV/f.u.

3.
The following is a PBE calculation of an optimized crystal structure of Pr2PaS4, from the Alexandria database.

The space group is Cmcm (No. 63) and the conventional cell measures 3.903, 13.620 and 13.212 Å, with angles of 90.00, 90.00 and 90.00 degrees. Symmetry generates all atoms from Pr at (0.000, 0.135, 0.070), Pa at (0.000, 0.374, 0.250), S at (0.000, 0.017, 0.250), S at (0.000, 0.221, 0.630) and S at (0.000, 0.500, 0.000).

The value obtained for the uncorrected formation energy is -1.79 eV/atom. The calculation puts the uncorrected energy at -48.12 eV/f.u.

4.
The following is a PBE calculation of an optimized crystal structure of Pr3PaS6, from the Alexandria database.

The space group is C2/m (No. 12) and the conventional cell measures 12.569, 7.554 and 7.049 Å, with angles of 90.00, 123.50 and 90.00 degrees. Symmetry generates all atoms from Pr at (0.000, 0.000, 0.000), Pr at (0.247, 0.000, 0.690), Pa at (0.000, 0.500, 0.500), S at (0.088, 0.255, 0.342) and S at (0.240, 0.500, 0.895).

The value obtained for the uncorrected formation energy is -1.75 eV/atom. The calculation puts the uncorrected energy at -66.09 eV/f.u.

5.
The following is a PBE calculation of an optimized crystal structure of Pr3PaS4, from the Alexandria database.

The space group is P2/c (No. 13) and the conventional cell measures 7.039, 8.073 and 7.007 Å, with angles of 90.00, 109.30 and 90.00 degrees. Symmetry generates all atoms from Pr at (0.000, 0.124, 0.250), Pr at (0.000, 0.373, 0.750), Pr at (0.500, 0.372, 0.250), Pa at (0.500, 0.122, 0.750), S at (0.258, 0.368, 0.508) and S at (0.260, 0.120, 0.999).

The value obtained for the uncorrected formation energy is -1.88 eV/atom. The calculation puts the uncorrected energy at -55.41 eV/f.u.

6.
The following is a PBE calculation of an optimized crystal structure of Pr6PaS8, from the Alexandria database.

The space group is Fm-3m (No. 225) and the conventional cell measures 11.562, 11.562 and 11.562 Å, with angles of 90.00, 90.00 and 90.00 degrees. Symmetry generates all atoms from Pr at (0.000, 0.250, 0.250), Pa at (0.000, 0.000, 0.000), S at (0.000, 0.000, 0.241) and S at (0.250, 0.250, 0.250).

The value obtained for the uncorrected formation energy is -1.94 eV/atom. The calculation puts the uncorrected energy at -100.23 eV/f.u.

Q: The highest uncorrected energy belongs to which entry?
A: Pr2PaS4